# 1
This record from the Alexandria database describes crystalline Tb2Er3Tm at its relaxed geometry. The functional is PBE.

Lattice parameters (Å, degrees): 6.080 7.027 9.299 112.20 89.95 90.00
Element x y z (fractional)
Tb: 0.584 0.541 0.333
Tb: 0.084 0.791 0.333
Tb: 0.916 0.209 0.667
Tb: 0.416 0.459 0.667
Er: 0.250 0.375 0.000
Er: 0.750 0.625 0.000
Er: 0.083 0.291 0.332
Er: 0.417 0.959 0.668
Er: 0.583 0.041 0.332
Er: 0.917 0.709 0.668
Tm: 0.750 0.125 0.000
Tm: 0.250 0.875 0.000

Summary:
symmetry = C2/c
ΔE to the lowest computed polymorph = 0.0 meV/atom



# 2
This record from the Alexandria database describes crystalline U2HgSb at its relaxed geometry. The functional is PBE.

Lattice parameters (Å, degrees): 4.517 4.725 4.725 90.00 90.00 90.00
Element x y z (fractional)
Sb: 0.500 0.500 0.500
U: 0.000 0.000 0.500
U: 0.000 0.500 0.000
Hg: 0.500 0.000 0.000

Summary:
formation energy (no corrections) = 0.094 eV/atom
symmetry = P4/mmm



# 3
This record from the Alexandria database describes crystalline K2Sr2Rh at its relaxed geometry. The functional is PBE.

Lattice parameters (Å, degrees): 7.984 7.984 7.329 90.00 90.00 90.00
Element x y z (fractional)
Sr: 0.317 0.817 0.000
Sr: 0.817 0.683 0.000
Sr: 0.683 0.183 0.000
Sr: 0.183 0.317 0.000
K: 0.184 0.684 0.500
K: 0.684 0.816 0.500
K: 0.816 0.316 0.500
K: 0.316 0.184 0.500
Rh: 0.000 0.000 0.000
Rh: 0.500 0.500 0.000

Summary:
symmetry = P4/mbm
ΔE to the lowest computed polymorph = 0.0 meV/atom



# 4
This record from the Alexandria database describes crystalline IrRh2Cl at its relaxed geometry. The functional is PBE.

Lattice parameters (Å, degrees): 4.555 4.555 4.555 125.66 125.66 80.45
Element x y z (fractional)
Cl: 0.500 0.500 0.000
Ir: 0.750 0.250 0.500
Rh: 0.000 0.000 0.000
Rh: 0.250 0.750 0.500

Summary:
formation energy (no corrections) = 0.827 eV/atom
symmetry = I-4m2
ΔE to the lowest computed polymorph = 552.2 meV/atom



Copy entry 4 word for word.
This record from the Alexandria database describes crystalline IrRh2Cl at its relaxed geometry. The functional is PBE.

Lattice parameters (Å, degrees): 4.555 4.555 4.555 125.66 125.66 80.45
Element x y z (fractional)
Cl: 0.500 0.500 0.000
Ir: 0.750 0.250 0.500
Rh: 0.000 0.000 0.000
Rh: 0.250 0.750 0.500

Summary:
formation energy (no corrections) = 0.827 eV/atom
symmetry = I-4m2
ΔE to the lowest computed polymorph = 552.2 meV/atom



What did the third record say?
This record from the Alexandria database describes crystalline K2Sr2Rh at its relaxed geometry. The functional is PBE.

Lattice parameters (Å, degrees): 7.984 7.984 7.329 90.00 90.00 90.00
Element x y z (fractional)
Sr: 0.317 0.817 0.000
Sr: 0.817 0.683 0.000
Sr: 0.683 0.183 0.000
Sr: 0.183 0.317 0.000
K: 0.184 0.684 0.500
K: 0.684 0.816 0.500
K: 0.816 0.316 0.500
K: 0.316 0.184 0.500
Rh: 0.000 0.000 0.000
Rh: 0.500 0.500 0.000

Summary:
symmetry = P4/mbm
ΔE to the lowest computed polymorph = 0.0 meV/atom